Record 1
ErPaGePt | PBE-GGA | optimized geometry Values from VASP.

Summary:
* ΔE_f: -0.63 eV/atom
* crystal system: cubic

Cell and atoms, written as Quantum ESPRESSO input:
```
&SYSTEM
  ibrav = 0, nat = 4, ntyp = 4
/
ATOMIC_SPECIES
Er 167.26 Er.upf
Pt 195.08 Pt.upf
Ge 72.64 Ge.upf
Pa 231.04 Pa.upf
CELL_PARAMETERS angstrom
4.999 0.000 0.000
2.499 4.329 0.000
2.499 1.443 4.081
ATOMIC_POSITIONS angstrom
Er 4.999 2.886 2.041
Pt 2.499 1.443 1.020
Ge 7.498 4.329 3.061
Pa 0.000 0.000 0.000
```

***

Record 2
Er2PaGe3Pt4 | PBE-GGA | optimized geometry Values from VASP.

Summary:
* ΔE_f: -0.83 eV/atom
* crystal system: tetragonal

Cell and atoms, written as Quantum ESPRESSO input:
```
&SYSTEM
  ibrav = 0, nat = 10, ntyp = 4
/
ATOMIC_SPECIES
Ge 72.64 Ge.upf
Pa 231.04 Pa.upf
Pt 195.08 Pt.upf
Er 167.26 Er.upf
CELL_PARAMETERS angstrom
4.271 0.000 0.000
0.000 4.271 0.000
0.000 0.000 11.185
ATOMIC_POSITIONS angstrom
Ge 0.000 2.136 1.406
Pa 2.136 2.136 5.593
Ge 0.000 0.000 5.593
Pt 0.000 0.000 0.000
Ge 2.136 0.000 9.780
Pt 2.136 0.000 7.350
Pt 2.136 2.136 0.000
Pt 0.000 2.136 3.835
Er 0.000 2.136 8.814
Er 2.136 0.000 2.371
```

***

Record 3
ErPaGeRu | PBE-GGA | optimized geometry Values from VASP.

Summary:
* ΔE_f: -0.32 eV/atom
* crystal system: cubic

Cell and atoms, written as Quantum ESPRESSO input:
```
&SYSTEM
  ibrav = 0, nat = 4, ntyp = 4
/
ATOMIC_SPECIES
Pa 231.04 Pa.upf
Ge 72.64 Ge.upf
Er 167.26 Er.upf
Ru 101.07 Ru.upf
CELL_PARAMETERS angstrom
4.925 0.000 0.000
2.462 4.265 0.000
2.462 1.422 4.021
ATOMIC_POSITIONS angstrom
Pa 0.000 0.000 0.000
Ge 2.462 1.422 1.005
Er 4.925 2.843 2.011
Ru 7.387 4.265 3.016
```

***

Record 4
ErPaZnGe | PBE-GGA | optimized geometry Values from VASP.

Summary:
* ΔE_f: -0.25 eV/atom
* crystal system: cubic

Cell and atoms, written as Quantum ESPRESSO input:
```
&SYSTEM
  ibrav = 0, nat = 4, ntyp = 4
/
ATOMIC_SPECIES
Zn 65.41 Zn.upf
Pa 231.04 Pa.upf
Ge 72.64 Ge.upf
Er 167.26 Er.upf
CELL_PARAMETERS angstrom
4.997 0.000 0.000
2.499 4.328 0.000
2.499 1.443 4.080
ATOMIC_POSITIONS angstrom
Zn 0.000 0.000 0.000
Pa 7.496 4.328 3.060
Ge 4.997 2.885 2.040
Er 2.499 1.443 1.020
```

***

Record 5
ErGePb2 | PBE-GGA | optimized geometry Values from VASP.

Summary:
* ΔE_f: 0.22 eV/atom
* crystal system: trigonal

Cell and atoms, written as Quantum ESPRESSO input:
```
&SYSTEM
  ibrav = 0, nat = 4, ntyp = 3
/
ATOMIC_SPECIES
Er 167.26 Er.upf
Pb 207.20 Pb.upf
Ge 72.64 Ge.upf
CELL_PARAMETERS angstrom
3.475 0.000 0.000
1.738 3.010 0.000
1.738 1.003 11.321
ATOMIC_POSITIONS angstrom
Er 0.000 0.000 0.000
Pb 1.738 1.003 8.133
Ge 3.475 2.006 5.661
Pb 5.213 3.010 3.188
```

***

Record 6
Er7Ge2Pb2 | PBE-GGA | optimized geometry Values from VASP.

Summary:
* ΔE_f: -0.32 eV/atom
* crystal system: orthorhombic

Cell and atoms, written as Quantum ESPRESSO input:
```
&SYSTEM
  ibrav = 0, nat = 11, ntyp = 3
/
ATOMIC_SPECIES
Ge 72.64 Ge.upf
Er 167.26 Er.upf
Pb 207.20 Pb.upf
CELL_PARAMETERS angstrom
6.898 -0.003 -0.527
0.003 6.896 0.003
-0.956 -0.002 6.852
ATOMIC_POSITIONS angstrom
Ge 1.199 6.893 4.834
Er 2.973 5.195 3.165
Ge 4.747 -0.002 1.494
Er 2.494 1.783 6.589
Er 3.452 5.107 -0.261
Er 0.000 0.000 0.000
Pb 4.840 3.443 5.151
Er 2.972 1.695 3.163
Er -0.477 1.786 3.427
Er 6.422 5.104 2.901
Pb 1.106 3.447 1.177
```

***

Record 7
ErGe2Pd7Pb2 | PBE-GGA | optimized geometry Values from VASP.

Summary:
* ΔE_f: -0.48 eV/atom
* crystal system: monoclinic

Cell and atoms, written as Quantum ESPRESSO input:
```
&SYSTEM
  ibrav = 0, nat = 12, ntyp = 4
/
ATOMIC_SPECIES
Pb 207.20 Pb.upf
Pd 106.42 Pd.upf
Er 167.26 Er.upf
Ge 72.64 Ge.upf
CELL_PARAMETERS angstrom
4.079 0.019 -0.082
0.024 4.079 -0.082
1.705 1.703 13.955
ATOMIC_POSITIONS angstrom
Pb 4.289 4.284 5.127
Pd 2.105 4.130 1.978
Pd 4.132 2.100 1.978
Pd 3.582 3.578 7.877
Er 0.000 0.000 0.000
Ge 2.123 2.120 3.444
Ge 3.684 3.680 10.347
Pd 2.225 2.222 5.914
Pd 2.051 2.049 -0.082
Pd 3.702 1.670 11.813
Pb 1.518 1.516 8.664
Pd 1.675 3.700 11.813
```

***

Record 8
PmErGePb | PBE-GGA | optimized geometry Values from VASP.

Summary:
* ΔE_f: -0.42 eV/atom
* crystal system: cubic

Cell and atoms, written as Quantum ESPRESSO input:
```
&SYSTEM
  ibrav = 0, nat = 4, ntyp = 4
/
ATOMIC_SPECIES
Er 167.26 Er.upf
Pm 145.00 Pm.upf
Ge 72.64 Ge.upf
Pb 207.20 Pb.upf
CELL_PARAMETERS angstrom
-0.825 -4.963 -1.715
1.589 -4.129 2.947
-3.595 -3.083 2.414
ATOMIC_POSITIONS angstrom
Er -0.708 -3.044 0.912
Pm -2.123 -9.131 2.735
Ge -1.415 -6.087 1.823
Pb 0.000 0.000 0.000
```

***

Record 9
ErGe2Pt7Pb2 | PBE-GGA | optimized geometry Values from VASP.

Summary:
* ΔE_f: -0.56 eV/atom
* crystal system: monoclinic

Cell and atoms, written as Quantum ESPRESSO input:
```
&SYSTEM
  ibrav = 0, nat = 12, ntyp = 4
/
ATOMIC_SPECIES
Pt 195.08 Pt.upf
Er 167.26 Er.upf
Ge 72.64 Ge.upf
Pb 207.20 Pb.upf
CELL_PARAMETERS angstrom
-2.862 0.164 2.789
-2.694 -1.219 -2.693
0.123 -15.390 3.887
ATOMIC_POSITIONS angstrom
Pt -1.622 -13.941 2.009
Er 0.000 0.000 0.000
Pt -3.810 -2.503 1.974
Pt -1.706 -13.249 4.750
Pt -2.778 -0.527 0.048
Ge -3.330 -12.428 3.034
Pt -1.640 -6.328 1.547
Pb -1.102 -9.120 2.268
Pt -3.726 -3.195 -0.767
Pt -3.792 -10.116 2.436
Pb -4.330 -7.324 1.715
Ge -2.102 -4.016 0.949
```

***

Record 10
ErPuGePb | PBE-GGA | optimized geometry Values from VASP.

Summary:
* ΔE_f: -0.29 eV/atom
* crystal system: cubic

Cell and atoms, written as Quantum ESPRESSO input:
```
&SYSTEM
  ibrav = 0, nat = 4, ntyp = 4
/
ATOMIC_SPECIES
Pu 244.00 Pu.upf
Er 167.26 Er.upf
Ge 72.64 Ge.upf
Pb 207.20 Pb.upf
CELL_PARAMETERS angstrom
5.240 0.000 0.000
2.620 4.538 0.000
2.620 1.513 4.278
ATOMIC_POSITIONS angstrom
Pu 0.000 0.000 0.000
Er 5.240 3.025 2.139
Ge 7.860 4.538 3.209
Pb 2.620 1.513 1.070
```

***

Record 11
Er2Ge2Rh5Pb | PBE-GGA | optimized geometry Values from VASP.

Summary:
* ΔE_f: -0.74 eV/atom
* crystal system: tetragonal

Cell and atoms, written as Quantum ESPRESSO input:
```
&SYSTEM
  ibrav = 0, nat = 20, ntyp = 4
/
ATOMIC_SPECIES
Rh 102.91 Rh.upf
Pb 207.20 Pb.upf
Ge 72.64 Ge.upf
Er 167.26 Er.upf
CELL_PARAMETERS angstrom
-0.624 1.349 3.373
-3.806 -8.594 2.733
8.865 -3.020 2.848
ATOMIC_POSITIONS angstrom
Rh 3.851 -6.387 5.282
Rh -0.503 -1.383 2.474
Pb 2.529 -5.807 2.791
Rh 0.775 -6.764 4.863
Ge 5.419 -7.996 4.201
Ge 5.048 -2.924 2.104
Er 2.212 -2.487 1.404
Rh -1.947 -7.961 4.838
Pb 0.000 0.000 0.000
Er 6.075 -5.282 3.237
Ge -0.360 -3.618 1.381
Ge 0.010 -8.690 3.478
Rh 4.938 -8.882 6.480
Rh 3.660 -3.501 4.092
Rh 0.583 -3.878 3.673
Er 2.847 -9.127 4.177
Rh 6.381 -2.304 4.116
Rh -2.215 -3.622 3.053
Rh 4.120 -0.835 3.111
Er -1.017 -6.333 2.345
```

***

Record 12
Er6GePb2Se3 | PBE-GGA | optimized geometry Values from VASP.

Summary:
* crystal system: monoclinic
* energy relative to the elements, uncorrected: -1.151 eV per atom

Cell and atoms, written as Quantum ESPRESSO input:
```
&SYSTEM
  ibrav = 0, nat = 12, ntyp = 4
/
ATOMIC_SPECIES
Er 167.26 Er.upf
Pb 207.20 Pb.upf
Ge 72.64 Ge.upf
Se 78.96 Se.upf
CELL_PARAMETERS angstrom
-1.800 -3.175 1.912
1.232 -4.853 -6.901
8.543 0.233 3.990
ATOMIC_POSITIONS angstrom
Er 7.032 -4.079 4.284
Pb 4.974 -5.705 -0.353
Ge -0.900 -1.588 0.956
Er 6.352 -5.434 -3.045
Pb 3.002 -2.090 -0.646
Er 2.287 -4.902 -1.550
Se -0.284 -4.014 -2.495
Er 5.690 -2.893 0.551
Se 4.419 -3.293 3.130
Er 1.624 -2.361 2.046
Se 3.557 -4.502 -4.129
Er 0.944 -3.716 -5.283
```

***

no.,DOS(E_F) (states/eV/f.u.)
1,7.325
2,9.955
3,4.298
4,6.840
5,2.719
6,13.149
7,3.482
8,4.139
9,4.115
10,9.724
11,2.496
12,3.731